[1]
# KBa2Pt2 | Alexandria via LeMat-Bulk | PBE-GGA | relaxed
data_KBa2Pt2
_chemical_formula_sum 'K2 Ba4 Pt4'
_space_group_name_H-M_alt 'I 4/m m m'
_space_group_IT_number 139
_space_group_name_Hall '-I 4 2'
_cell_length_a 5.5829
_cell_length_b 5.5829
_cell_length_c 11.6302
_cell_angle_alpha 90.00
_cell_angle_beta 90.00
_cell_angle_gamma 90.00
loop_
_atom_site_label
_atom_site_fract_x
_atom_site_fract_y
_atom_site_fract_z
K1 0.0000 0.0000 0.0000
Ba1 0.0000 0.5000 0.2500
Pt1 0.0000 0.0000 0.3847
# Crystal system: tetragonal
# ΔE to the lowest computed polymorph: 0.134 eV per atom

***

[2]
# KBaPt2 | Alexandria via LeMat-Bulk | PBE-GGA | relaxed
data_KBaPt2
_chemical_formula_sum 'K1 Ba1 Pt2'
_space_group_name_H-M_alt 'P 4 m m'
_space_group_IT_number 99
_cell_length_a 3.7226
_cell_length_b 3.7226
_cell_length_c 9.4884
_cell_angle_alpha 90.00
_cell_angle_beta 90.00
_cell_angle_gamma 90.00
loop_
_space_group_symop_operation_xyz
'x,y,z'
'-y,x,z'
'-x,-y,z'
'y,-x,z'
'-x,y,z'
'y,x,z'
'x,-y,z'
'-y,-x,z'
loop_
_atom_site_label
_atom_site_fract_x
_atom_site_fract_y
_atom_site_fract_z
K1 0.0000 0.0000 0.0000
Ba1 0.5000 0.5000 0.5604
Pt1 0.0000 0.0000 0.3249
Pt2 0.5000 0.5000 0.2608
# Crystal system: tetragonal

***

[3]
# K2BaPt | Alexandria via LeMat-Bulk | PBE-GGA | relaxed
data_K2BaPt
_chemical_formula_sum 'K2 Ba1 Pt1'
_space_group_name_H-M_alt 'P m m m'
_space_group_IT_number 47
_cell_length_a 4.7640
_cell_length_b 4.7741
_cell_length_c 6.9775
_cell_angle_alpha 90.00
_cell_angle_beta 90.00
_cell_angle_gamma 90.00
loop_
_space_group_symop_operation_xyz
'x,y,z'
'-x,-y,-z'
'-x,-y,z'
'x,y,-z'
'x,-y,-z'
'-x,y,z'
'-x,y,-z'
'x,-y,z'
loop_
_atom_site_label
_atom_site_fract_x
_atom_site_fract_y
_atom_site_fract_z
K1 0.0000 0.0000 0.2021
Ba1 0.5000 0.5000 0.5000
Pt1 0.5000 0.5000 0.0000
# Crystal system: orthorhombic

***

[4]
# K2BaPt | Alexandria via LeMat-Bulk | PBE-GGA | relaxed
data_K2BaPt
_chemical_formula_sum 'K6 Ba3 Pt3'
_space_group_name_H-M_alt 'R -3 m'
_space_group_IT_number 166
_space_group_name_Hall '-R 3 2"'
_cell_length_a 5.5047
_cell_length_b 5.5047
_cell_length_c 16.7552
_cell_angle_alpha 90.00
_cell_angle_beta 90.00
_cell_angle_gamma 120.00
loop_
_atom_site_label
_atom_site_fract_x
_atom_site_fract_y
_atom_site_fract_z
K1 0.0000 0.0000 0.2257
Ba1 0.0000 0.0000 0.0000
Pt1 0.0000 0.0000 0.5000
# Crystal system: trigonal

***

[5]
# KBaPt3 | Alexandria via LeMat-Bulk | PBE-GGA | relaxed
data_KBaPt3
_chemical_formula_sum 'K1 Ba1 Pt3'
_space_group_name_H-M_alt 'P m -3 m'
_space_group_IT_number 221
_space_group_name_Hall '-P 4 2 3'
_cell_length_a 5.2484
_cell_length_b 5.2484
_cell_length_c 5.2484
_cell_angle_alpha 90.00
_cell_angle_beta 90.00
_cell_angle_gamma 90.00
loop_
_atom_site_label
_atom_site_fract_x
_atom_site_fract_y
_atom_site_fract_z
K1 0.0000 0.0000 0.0000
Ba1 0.5000 0.5000 0.5000
Pt1 0.0000 0.0000 0.5000
# Crystal system: cubic
# ΔE to the lowest computed polymorph: 0.000 eV per atom

***

[6]
# KBa3Pt | Alexandria via LeMat-Bulk | PBE-GGA | relaxed
data_KBa3Pt
_chemical_formula_sum 'K1 Ba3 Pt1'
_space_group_name_H-M_alt 'P m -3 m'
_space_group_IT_number 221
_space_group_name_Hall '-P 4 2 3'
_cell_length_a 6.3989
_cell_length_b 6.3989
_cell_length_c 6.3989
_cell_angle_alpha 90.00
_cell_angle_beta 90.00
_cell_angle_gamma 90.00
loop_
_atom_site_label
_atom_site_fract_x
_atom_site_fract_y
_atom_site_fract_z
K1 0.0000 0.0000 0.0000
Ba1 0.0000 0.0000 0.5000
Pt1 0.5000 0.5000 0.5000
# Crystal system: cubic
# ΔE to the lowest computed polymorph: 1.375 eV per atom

***

[7]
# K2BaPt | Alexandria via LeMat-Bulk | PBE-GGA | relaxed
data_K2BaPt
_chemical_formula_sum 'K8 Ba4 Pt4'
_space_group_name_H-M_alt 'I -4 2 d'
_space_group_IT_number 122
_space_group_name_Hall 'I -4 2bw'
_cell_length_a 11.5766
_cell_length_b 11.5766
_cell_length_c 6.0559
_cell_angle_alpha 90.00
_cell_angle_beta 90.00
_cell_angle_gamma 90.00
loop_
_atom_site_label
_atom_site_fract_x
_atom_site_fract_y
_atom_site_fract_z
K1 0.1233 0.7500 0.1250
Ba1 0.0000 0.0000 0.5000
Pt1 0.0000 0.0000 0.0000
# Crystal system: tetragonal

***

[8]
# KBaPt5 | Alexandria via LeMat-Bulk | PBE-GGA | relaxed
data_KBaPt5
_chemical_formula_sum 'K4 Ba4 Pt20'
_space_group_name_H-M_alt 'P n m a'
_space_group_IT_number 62
_cell_length_a 9.3288
_cell_length_b 5.4192
_cell_length_c 12.5447
_cell_angle_alpha 90.00
_cell_angle_beta 90.00
_cell_angle_gamma 90.00
loop_
_space_group_symop_operation_xyz
'x,y,z'
'-x,-y,-z'
'-x+1/2,-y,z+1/2'
'x+1/2,y,-z+1/2'
'x+1/2,-y+1/2,-z+1/2'
'-x+1/2,y+1/2,z+1/2'
'-x,y+1/2,-z'
'x,-y+1/2,z'
loop_
_atom_site_label
_atom_site_fract_x
_atom_site_fract_y
_atom_site_fract_z
K1 0.1870 0.2500 0.1095
Ba1 0.2000 0.7500 0.9042
Pt1 0.0046 0.2500 0.8694
Pt2 0.0081 0.7500 0.5030
Pt3 0.0094 0.0002 0.6843
Pt4 0.2424 0.7500 0.2538
# Crystal system: orthorhombic

***

[9]
# KBaPt3 | Alexandria via LeMat-Bulk | PBE-GGA | relaxed
data_KBaPt3
_chemical_formula_sum 'K1 Ba1 Pt3'
_space_group_name_H-M_alt 'P m -3 m'
_space_group_IT_number 221
_space_group_name_Hall '-P 4 2 3'
_cell_length_a 5.5874
_cell_length_b 5.5874
_cell_length_c 5.5874
_cell_angle_alpha 90.00
_cell_angle_beta 90.00
_cell_angle_gamma 90.00
loop_
_atom_site_label
_atom_site_fract_x
_atom_site_fract_y
_atom_site_fract_z
K1 0.0000 0.0000 0.0000
Ba1 0.5000 0.5000 0.5000
Pt1 0.0000 0.5000 0.5000
# Crystal system: cubic
# ΔE to the lowest computed polymorph: 0.033 eV per atom

***

[10]
# KBa2Pt | Alexandria via LeMat-Bulk | PBE-GGA | relaxed
data_KBa2Pt
_chemical_formula_sum 'K1 Ba2 Pt1'
_space_group_name_H-M_alt 'P 4/m m m'
_space_group_IT_number 123
_space_group_name_Hall '-P 4 2'
_cell_length_a 3.9899
_cell_length_b 3.9899
_cell_length_c 11.4686
_cell_angle_alpha 90.00
_cell_angle_beta 90.00
_cell_angle_gamma 90.00
loop_
_atom_site_label
_atom_site_fract_x
_atom_site_fract_y
_atom_site_fract_z
K1 0.0000 0.0000 0.0000
Ba1 0.5000 0.5000 0.3427
Pt1 0.0000 0.0000 0.5000
# Crystal system: tetragonal
# ΔE to the lowest computed polymorph: 0.116 eV per atom

***

[11]
# KBa2Pt2 | Alexandria via LeMat-Bulk | PBE-GGA | relaxed
data_KBa2Pt2
_chemical_formula_sum 'K2 Ba4 Pt4'
_space_group_name_H-M_alt 'I 4/m m m'
_space_group_IT_number 139
_space_group_name_Hall '-I 4 2'
_cell_length_a 5.8092
_cell_length_b 5.8092
_cell_length_c 12.3694
_cell_angle_alpha 90.00
_cell_angle_beta 90.00
_cell_angle_gamma 90.00
loop_
_atom_site_label
_atom_site_fract_x
_atom_site_fract_y
_atom_site_fract_z
K1 0.0000 0.0000 0.0000
Ba1 0.0000 0.0000 0.3290
Pt1 0.0000 0.5000 0.2500
# Crystal system: tetragonal
# ΔE to the lowest computed polymorph: 0.209 eV per atom

***

[12]
# KBa2Pt2 | Alexandria via LeMat-Bulk | PBE-GGA | relaxed
data_KBa2Pt2
_chemical_formula_sum 'K2 Ba4 Pt4'
_space_group_name_H-M_alt 'P 4/m b m'
_space_group_IT_number 127
_space_group_name_Hall '-P 4 2ab'
_cell_length_a 8.8877
_cell_length_b 8.8877
_cell_length_c 4.1478
_cell_angle_alpha 90.00
_cell_angle_beta 90.00
_cell_angle_gamma 90.00
loop_
_atom_site_label
_atom_site_fract_x
_atom_site_fract_y
_atom_site_fract_z
K1 0.0000 0.0000 0.0000
Ba1 0.1498 0.3502 0.5000
Pt1 0.1436 0.6436 0.0000
# Crystal system: tetragonal
# ΔE to the lowest computed polymorph: 0.000 eV per atom

***

no.,formation energy (meV/atom),E_tot (eV per atom)
1,-356,-3.76
2,-122,-3.90
3,161,-2.38
4,226,-2.31
5,981,-3.25
6,1003,-1.58
7,-42,-2.58
8,-265,-5.01
9,1014,-3.21
10,-359,-3.10
11,-281,-3.69
12,-490,-3.89